No. 1
A geometry-optimized BaIn2Sb structure, computed with GGA-PBEsol.

Cell and atoms, written as POSCAR:
```
BaIn2Sb
1.0
4.542 0.000 0.017
0.000 4.543 0.000
-0.024 0.000 6.250
In Sb Ba
2 1 1
direct
0.625 0.500 0.154
0.125 0.000 0.154
0.625 0.000 0.493
0.125 0.500 0.700
```

Properties
- formation energy from raw total energies (meV/atom) = -506
- symmetry = P4mm (99)
- spin magnetization (μB per cell) = 0.00

No. 2
A geometry-optimized Ba2ScInSb structure, computed with GGA-PBEsol.

Cell and atoms, written as POSCAR:
```
Ba2ScInSb
1.0
-4.327 -1.767 -2.767
2.116 -5.872 0.441
-3.135 -0.726 5.366
Sb Ba In Sc
1 2 1 1
direct
0.500 0.500 0.500
0.000 0.000 0.500
0.000 0.500 0.000
0.000 0.000 0.000
0.500 0.000 0.000
```

Properties
- formation energy from raw total energies (meV/atom) = 30
- symmetry = P4/mmm (123)
- spin magnetization (μB per cell) = 0.00

No. 3
A geometry-optimized Ba2InSbTe5 structure, computed with GGA-PBEsol.

Cell and atoms, written as POSCAR:
```
Ba2InSbTe5
1.0
-0.502 4.328 -1.375
-12.937 -2.667 -3.671
-6.319 5.151 18.524
Te In Ba Sb
20 4 8 4
direct
0.250 0.603 0.449
0.250 0.103 0.051
0.750 0.001 0.755
0.750 0.589 0.964
0.750 0.796 0.295
0.750 0.760 0.605
0.750 0.089 0.536
0.750 0.397 0.551
0.750 0.897 0.949
0.250 0.204 0.705
0.750 0.501 0.745
0.250 0.411 0.036
0.250 0.740 0.105
0.250 0.911 0.464
0.250 0.240 0.395
0.750 0.296 0.205
0.250 0.704 0.795
0.250 0.499 0.255
0.250 0.999 0.245
0.750 0.260 0.895
0.750 0.822 0.818
0.250 0.178 0.182
0.250 0.678 0.318
0.750 0.322 0.682
0.250 0.073 0.875
0.250 0.948 0.634
0.750 0.552 0.134
0.750 0.427 0.375
0.250 0.448 0.866
0.750 0.927 0.125
0.750 0.052 0.366
0.250 0.573 0.625
0.750 0.769 0.464
0.250 0.731 0.964
0.750 0.269 0.036
0.250 0.231 0.536
```

Properties
- formation energy from raw total energies (meV/atom) = -920
- symmetry = Pnma (62)
- spin magnetization (μB per cell) = 0.00

No. 4
A geometry-optimized BaIn2Se4 structure, computed with GGA-PBEsol.

Cell and atoms, written as POSCAR:
```
BaIn2Se4
1.0
-4.055 9.046 8.538
2.377 -12.047 4.516
11.672 4.411 -4.466
Se In Ba
32 16 8
direct
0.540 0.289 0.076
0.274 0.208 0.248
0.214 0.963 0.425
0.304 0.228 0.748
0.536 0.787 0.076
0.769 0.193 0.248
0.711 0.460 0.924
0.458 0.024 0.748
0.710 0.461 0.424
0.213 0.464 0.924
0.712 0.961 0.925
0.290 0.724 0.748
0.039 0.288 0.075
0.276 0.710 0.252
0.714 0.963 0.424
0.037 0.786 0.575
0.792 0.726 0.752
0.976 0.542 0.252
0.478 0.054 0.248
0.481 0.557 0.252
0.211 0.462 0.425
0.037 0.286 0.576
0.213 0.964 0.925
0.538 0.789 0.575
0.807 0.231 0.752
0.946 0.522 0.752
0.974 0.040 0.248
0.960 0.026 0.752
0.772 0.696 0.252
0.443 0.519 0.748
0.539 0.290 0.576
0.036 0.787 0.075
0.266 0.406 0.250
0.266 0.905 0.250
0.510 0.239 0.749
0.011 0.240 0.751
0.489 0.260 0.249
0.984 0.344 0.250
0.095 0.734 0.750
0.984 0.845 0.250
0.239 0.510 0.749
0.760 0.989 0.249
0.656 0.016 0.750
0.761 0.490 0.251
0.155 0.016 0.750
0.740 0.511 0.751
0.594 0.734 0.750
0.490 0.761 0.251
0.752 0.752 0.504
0.000 0.000 0.000
0.250 0.750 0.500
0.248 0.248 0.496
0.500 0.500 0.000
0.498 0.998 0.996
0.750 0.250 0.500
0.002 0.502 0.004
```

Properties
- formation energy from raw total energies (meV/atom) = -1013
- symmetry = Fddd (70)
- spin magnetization (μB per cell) = 0.00

No. 5
A geometry-optimized Ba2InSe structure, computed with GGA-PBEsol.

Cell and atoms, written as POSCAR:
```
Ba2InSe
1.0
5.769 0.000 0.000
2.885 4.996 0.000
2.885 1.665 4.711
Ba In Se
2 1 1
direct
0.750 0.750 0.750
0.250 0.250 0.250
0.000 0.000 0.000
0.500 0.500 0.500
```

Properties
- formation energy from raw total energies (meV/atom) = -782
- symmetry = Fm-3m (225)
- energy above the most stable polymorph in this dataset (eV/atom) = 0.160
- spin magnetization (μB per cell) = 0.00

No. 6
A geometry-optimized Ba3InSe structure, computed with GGA-PBEsol.

Cell and atoms, written as POSCAR:
```
Ba3InSe
1.0
-2.043 0.043 5.809
2.026 -5.766 0.755
5.444 2.161 1.899
In Ba Se
1 3 1
direct
0.500 0.500 0.500
0.000 0.000 0.500
0.000 0.500 0.000
0.500 0.000 0.000
0.000 0.000 0.000
```

Properties
- formation energy from raw total energies (meV/atom) = -751
- symmetry = Pm-3m (221)
- energy above the most stable polymorph in this dataset (eV/atom) = 0.000
- spin magnetization (μB per cell) = 0.97

No. 7
A geometry-optimized BaInSe structure, computed with GGA-PBEsol.

Cell and atoms, written as POSCAR:
```
BaInSe
1.0
4.499 0.000 0.000
0.000 4.499 0.000
-2.249 -2.249 5.969
In Se Ba
1 1 1
direct
0.355 0.355 0.710
0.581 0.581 0.163
0.064 0.064 0.127
```

Properties
- formation energy from raw total energies (meV/atom) = -840
- symmetry = I4mm (107)
- spin magnetization (μB per cell) = 0.00

No. 8
A geometry-optimized Ba2InSe structure, computed with GGA-PBEsol.

Cell and atoms, written as POSCAR:
```
Ba2InSe
1.0
-3.055 1.759 1.794
-2.756 0.419 -5.104
-2.458 -5.189 0.901
Ba In Se
2 1 1
direct
0.125 0.000 0.500
0.125 0.500 0.000
0.625 0.000 0.000
0.625 0.500 0.500
```

Properties
- formation energy from raw total energies (meV/atom) = -942
- symmetry = P4/mmm (123)
- energy above the most stable polymorph in this dataset (eV/atom) = 0.000
- spin magnetization (μB per cell) = 0.00

No. 9
A geometry-optimized Ba2SmInSe5 structure, computed with GGA-PBEsol.

Cell and atoms, written as POSCAR:
```
Ba2SmInSe5
1.0
4.284 0.000 0.000
-2.142 9.381 0.000
0.000 0.000 13.209
Se Ba In Sm
10 4 2 2
direct
0.314 0.628 0.135
0.292 0.583 0.840
0.360 0.719 0.500
0.048 0.097 0.446
0.952 0.903 0.946
0.686 0.372 0.635
0.640 0.281 0.000
0.708 0.417 0.340
0.505 0.010 0.236
0.495 0.990 0.736
0.131 0.262 0.186
0.117 0.234 0.818
0.883 0.766 0.318
0.869 0.738 0.686
0.551 0.101 0.561
0.449 0.899 0.061
0.789 0.578 0.984
0.211 0.422 0.484
```

Properties
- formation energy from raw total energies (meV/atom) = -1623
- symmetry = Cmc2_1 (36)
- spin magnetization (μB per cell) = 0.00

No. 10
A geometry-optimized Ba4In2Te2Se5 structure, computed with GGA-PBEsol.

Cell and atoms, written as POSCAR:
```
Ba4In2Te2Se5
1.0
-3.544 3.125 7.133
-7.338 1.284 -4.209
-3.434 -10.352 2.829
In Ba Se Te
4 8 10 4
direct
0.500 0.000 0.346
0.000 0.500 0.346
0.500 0.000 0.654
0.000 0.500 0.654
0.500 0.500 0.287
0.346 0.846 0.000
0.654 0.154 0.000
0.846 0.654 0.000
0.000 0.000 0.713
0.154 0.346 0.000
0.000 0.000 0.287
0.500 0.500 0.713
0.340 0.160 0.803
0.160 0.660 0.197
0.000 0.000 0.000
0.840 0.340 0.197
0.660 0.840 0.197
0.340 0.160 0.197
0.500 0.500 0.000
0.160 0.660 0.803
0.660 0.840 0.803
0.840 0.340 0.803
0.684 0.184 0.500
0.816 0.684 0.500
0.316 0.816 0.500
0.184 0.316 0.500
```

Properties
- formation energy from raw total energies (meV/atom) = -1424
- symmetry = P4/mbm (127)
- spin magnetization (μB per cell) = 0.00

No. 11
A geometry-optimized BaIn2Si structure, computed with GGA-PBEsol.

Cell and atoms, written as POSCAR:
```
BaIn2Si
1.0
3.829 0.000 0.000
0.000 3.829 0.000
0.000 0.000 7.395
Ba In Si
1 2 1
direct
0.500 0.500 0.735
0.500 0.500 0.277
0.000 0.000 0.059
0.000 0.000 0.429
```

Properties
- formation energy from raw total energies (meV/atom) = -166
- symmetry = P4mm (99)
- spin magnetization (μB per cell) = 0.00

No. 12
A geometry-optimized Ba2InSi structure, computed with GGA-PBEsol.

Cell and atoms, written as POSCAR:
```
Ba2InSi
1.0
4.472 0.000 0.000
0.000 5.005 0.000
0.000 -2.502 6.282
In Ba Si
1 2 1
direct
0.000 0.686 0.372
0.000 0.987 0.973
0.500 0.271 0.542
0.500 0.560 0.121
```

Properties
- formation energy from raw total energies (meV/atom) = -395
- symmetry = Amm2 (38)
- spin magnetization (μB per cell) = 0.00

No. 13
A geometry-optimized Ba2InSi structure, computed with GGA-PBEsol.

Cell and atoms, written as POSCAR:
```
Ba2InSi
1.0
5.655 0.000 0.000
2.828 4.898 0.000
2.828 1.633 4.617
Si In Ba
1 1 2
direct
0.250 0.250 0.250
0.500 0.500 0.500
0.000 0.000 0.000
0.750 0.750 0.750
```

Properties
- formation energy from raw total energies (meV/atom) = 58
- symmetry = F-43m (216)
- spin magnetization (μB per cell) = 0.00

No. 14
A geometry-optimized BaInSi3 structure, computed with GGA-PBEsol.

Cell and atoms, written as POSCAR:
```
BaInSi3
1.0
-4.372 0.683 -3.406
-2.580 -4.304 2.449
-2.325 3.491 3.686
Si Ba In
3 1 1
direct
0.000 0.500 0.000
0.000 0.000 0.500
0.500 0.000 0.000
0.000 0.000 0.000
0.500 0.500 0.500
```

Properties
- formation energy from raw total energies (meV/atom) = 1611
- symmetry = Pm-3m (221)
- spin magnetization (μB per cell) = 0.00

No. 15
A geometry-optimized Ba3InSi structure, computed with GGA-PBEsol.

Cell and atoms, written as POSCAR:
```
Ba3InSi
1.0
6.374 0.000 0.000
0.000 6.374 0.000
0.000 0.000 6.374
In Ba Si
1 3 1
direct
0.000 0.000 0.000
0.000 0.500 0.000
0.500 0.000 0.000
0.000 0.000 0.500
0.500 0.500 0.500
```

Properties
- formation energy from raw total energies (meV/atom) = 431
- symmetry = Pm-3m (221)
- spin magnetization (μB per cell) = 1.35

No. 16
A geometry-optimized BaIn2Sn2 structure, computed with GGA-PBEsol.

Cell and atoms, written as POSCAR:
```
BaIn2Sn2
1.0
-4.766 -0.386 -1.063
-0.606 -3.017 3.811
1.435 6.731 2.410
Sn In Ba
2 2 1
direct
0.384 0.384 0.768
0.616 0.616 0.232
0.250 0.750 0.500
0.750 0.250 0.500
0.000 0.000 0.000
```

Properties
- symmetry = I4/mmm (139)
- DFT formation energy (eV/f.u.) = -1.79
- spin magnetization (μB per cell) = 0.00

No. 17
A geometry-optimized Ba2SrIn structure, computed with GGA-PBEsol.

Cell and atoms, written as POSCAR:
```
Ba2SrIn
1.0
-2.231 2.821 -2.217
-1.153 -4.376 -4.408
-3.896 -1.059 6.597
Ba Sr In
2 1 1
direct
0.997 0.997 0.993
0.798 0.298 0.597
0.199 0.699 0.399
0.506 0.506 0.011
```

Properties
- symmetry = Imm2 (44)
- energy above the most stable polymorph in this dataset (eV/atom) = 0.021
- DFT formation energy (eV/f.u.) = -0.83
- spin magnetization (μB per cell) = 0.00

No. 18
A geometry-optimized Ba2SrIn2 structure, computed with GGA-PBEsol.

Cell and atoms, written as POSCAR:
```
Ba2SrIn2
1.0
-2.090 -3.303 -3.389
4.509 -2.515 -0.329
-3.311 -1.603 7.553
In Ba Sr
2 2 1
direct
0.409 0.409 0.818
0.591 0.591 0.182
0.750 0.250 0.500
0.250 0.750 0.500
0.000 0.000 0.000
```

Properties
- symmetry = I4/mmm (139)
- energy above the most stable polymorph in this dataset (eV/atom) = 0.108
- DFT formation energy (eV/f.u.) = -1.07
- spin magnetization (μB per cell) = 0.00

No. 19
A geometry-optimized Ba2SrIn2 structure, computed with GGA-PBEsol.

Cell and atoms, written as POSCAR:
```
Ba2SrIn2
1.0
4.355 0.000 0.000
0.000 9.589 0.000
0.000 0.000 9.589
In Sr Ba
4 2 4
direct
0.000 0.876 0.624
0.000 0.376 0.876
0.000 0.624 0.124
0.000 0.124 0.376
0.000 0.500 0.500
0.000 0.000 0.000
0.500 0.669 0.831
0.500 0.831 0.331
0.500 0.169 0.669
0.500 0.331 0.169
```

Properties
- symmetry = P4/mbm (127)
- energy above the most stable polymorph in this dataset (eV/atom) = 0.000
- DFT formation energy (eV/f.u.) = -1.61
- spin magnetization (μB per cell) = 0.00

No. 20
A geometry-optimized BaSrIn4 structure, computed with GGA-PBEsol.

Cell and atoms, written as POSCAR:
```
BaSrIn4
1.0
-4.961 -2.472 2.912
0.141 -0.917 6.192
-3.509 3.557 3.773
Sr In Ba
1 4 1
direct
0.750 0.750 0.750
0.875 0.375 0.375
0.375 0.375 0.375
0.375 0.875 0.375
0.375 0.375 0.875
0.000 0.000 0.000
```

Properties
- symmetry = F-43m (216)
- DFT formation energy (eV/f.u.) = -2.75
- spin magnetization (μB per cell) = 0.00

No. 21
A geometry-optimized Ba2SrIn structure, computed with GGA-PBEsol.

Cell and atoms, written as POSCAR:
```
Ba2SrIn
1.0
-1.528 -2.753 -2.674
3.770 -1.615 -0.491
-1.858 -6.781 8.042
Ba Sr In
2 1 1
direct
0.500 0.500 0.316
0.000 0.000 0.988
0.500 0.500 0.683
0.000 0.000 0.513
```

Properties
- symmetry = P4mm (99)
- energy above the most stable polymorph in this dataset (eV/atom) = 0.013
- DFT formation energy (eV/f.u.) = -0.86
- spin magnetization (μB per cell) = 0.00

No. 22
A geometry-optimized BaSrIn structure, computed with GGA-PBEsol.

Cell and atoms, written as POSCAR:
```
BaSrIn
1.0
-3.893 1.404 0.342
-1.062 -3.446 2.059
4.165 4.194 4.982
Ba Sr In
1 1 1
direct
0.029 0.029 0.059
0.297 0.297 0.594
0.674 0.674 0.348
```

Properties
- symmetry = I4mm (107)
- DFT formation energy (eV/f.u.) = -0.96
- spin magnetization (μB per cell) = 0.00

No. 23
A geometry-optimized BaSrIn structure, computed with GGA-PBEsol.

Cell and atoms, written as POSCAR:
```
BaSrIn
1.0
-3.629 1.848 0.342
-2.570 -5.128 0.441
1.829 2.717 4.730
In Ba Sr
1 1 1
direct
0.613 0.333 0.667
0.980 0.000 0.000
0.407 0.667 0.333
```

Properties
- symmetry = P3m1 (156)
- DFT formation energy (eV/f.u.) = -0.60
- spin magnetization (μB per cell) = 0.00